No. 1
Compound: KOsSe2
Source: Alexandria via LeMat-Bulk
Functional: PBE
Structure: optimized geometry

Results
- formation energy without anion corrections (eV/atom) = -0.078

Lattice parameters (Å, degrees): 6.041 6.041 5.921 68.81 68.81 34.98
Sites, in units of the cell vectors:
K: 0.552 0.552 0.480
Os: 0.302 0.302 0.032
Se: 0.896 0.896 0.174
Se: 0.750 0.750 0.815

***

No. 2
Compound: KOsSe2
Source: Alexandria via LeMat-Bulk
Functional: PBE
Structure: optimized geometry

Results
- formation energy without anion corrections (eV/atom) = 0.164

Lattice parameters (Å, degrees): 3.288 3.288 7.810 90.00 90.00 97.88
Sites, in units of the cell vectors:
K: 0.500 0.500 0.250
Os: 0.500 0.500 0.750
Se: 0.000 0.000 0.939
Se: 0.000 0.000 0.561

***

No. 3
Compound: KOs2Se
Source: Alexandria via LeMat-Bulk
Functional: PBE
Structure: optimized geometry

Results
- formation energy without anion corrections (eV/atom) = 1.356

Lattice parameters (Å, degrees): 2.668 5.155 6.167 90.00 90.00 90.00
Sites, in units of the cell vectors:
K: 0.500 0.500 0.750
Os: 0.000 0.000 0.064
Os: 0.000 0.000 0.436
Se: 0.500 0.500 0.250

***

No. 4
Compound: KOs2Se
Source: Alexandria via LeMat-Bulk
Functional: PBE
Structure: optimized geometry

Results
- formation energy without anion corrections (eV/atom) = 1.452

Lattice parameters (Å, degrees): 6.072 6.072 2.576 90.00 90.00 125.82
Sites, in units of the cell vectors:
K: 0.000 0.500 0.500
Os: 0.000 0.000 0.000
Os: 0.500 0.500 0.000
Se: 0.500 0.000 0.500

***

No. 5
Compound: KOs2Se
Source: Alexandria via LeMat-Bulk
Functional: PBE
Structure: optimized geometry

Results
- formation energy without anion corrections (eV/atom) = 0.717

Lattice parameters (Å, degrees): 9.943 9.943 9.943 16.92 16.92 16.92
Sites, in units of the cell vectors:
K: 0.751 0.751 0.751
Os: 0.985 0.985 0.985
Os: 0.250 0.250 0.250
Se: 0.514 0.514 0.514

***

No. 6
Compound: KOs2Se
Source: Alexandria via LeMat-Bulk
Functional: PBE
Structure: optimized geometry

Results
- formation energy without anion corrections (eV/atom) = 0.770

Lattice parameters (Å, degrees): 6.516 6.516 6.326 55.12 55.12 25.66
Sites, in units of the cell vectors:
K: 0.250 0.250 0.250
Os: 0.053 0.053 0.053
Os: 0.447 0.447 0.447
Se: 0.750 0.750 0.750

***

No. 7
Compound: KOsSe2
Source: Alexandria via LeMat-Bulk
Functional: PBE
Structure: optimized geometry

Results
- formation energy without anion corrections (eV/atom) = -0.097

Lattice parameters (Å, degrees): 3.839 3.124 7.508 89.98 90.00 90.00
Sites, in units of the cell vectors:
K: 0.500 0.250 0.250
Os: 0.500 0.750 0.750
Se: 0.000 0.749 0.955
Se: 0.000 0.751 0.545

***

No. 8
Compound: KOs2Se
Source: Alexandria via LeMat-Bulk
Functional: PBE
Structure: optimized geometry

Results
- formation energy without anion corrections (eV/atom) = 1.463

Lattice parameters (Å, degrees): 5.725 5.725 5.725 140.72 140.72 56.76
Sites, in units of the cell vectors:
K: 0.750 0.250 0.500
Os: 0.000 0.000 0.000
Os: 0.500 0.500 0.000
Se: 0.250 0.750 0.500

***

No. 9
Compound: KOs2Se
Source: Alexandria via LeMat-Bulk
Functional: PBE
Structure: optimized geometry

Results
- formation energy without anion corrections (eV/atom) = 1.372

Lattice parameters (Å, degrees): 4.643 4.643 4.643 120.01 120.01 89.98
Sites, in units of the cell vectors:
K: 0.750 0.250 0.500
Os: 0.000 0.000 0.000
Os: 0.250 0.750 0.500
Se: 0.500 0.500 0.000

***

No. 10
Compound: KOsSe2
Source: Alexandria via LeMat-Bulk
Functional: PBE
Structure: optimized geometry

Results
- formation energy without anion corrections (eV/atom) = -0.022

Lattice parameters (Å, degrees): 8.116 8.116 8.116 154.58 156.86 34.64
Sites, in units of the cell vectors:
K: 0.451 0.451 0.000
Os: 0.192 0.692 0.500
Se: 0.087 0.087 0.000
Se: 0.770 0.270 0.500

***

No. 11
Compound: KOs2Se
Source: Alexandria via LeMat-Bulk
Functional: PBE
Structure: optimized geometry

Results
- formation energy without anion corrections (eV/atom) = 0.369

Lattice parameters (Å, degrees): 3.554 2.848 8.335 80.16 90.00 90.00
Sites, in units of the cell vectors:
K: 0.500 0.689 0.746
Os: 0.000 0.024 0.078
Os: 0.500 0.453 0.220
Se: 0.000 0.335 0.455

***

No. 12
Compound: KOsSe2
Source: Alexandria via LeMat-Bulk
Functional: PBE
Structure: optimized geometry

Results
- formation energy without anion corrections (eV/atom) = 0.434

Lattice parameters (Å, degrees): 4.756 4.756 4.756 60.00 60.00 60.00
Sites, in units of the cell vectors:
K: 0.000 0.000 0.000
Os: 0.500 0.500 0.500
Se: 0.250 0.250 0.250
Se: 0.750 0.750 0.750